KFeSb4, optimized geometry, DFT PBE; total DFT energy (no corrections) = -3.895 eV per atom
1.0
0.0000 4.4598 4.4598
4.4598 0.0000 4.4598
4.4598 4.4598 0.0000
K Fe Sb
1 1 4
Direct
0.0000 0.0000 0.0000
0.2500 0.2500 0.2500
0.1280 0.6240 0.6240
0.6240 0.1280 0.6240
0.6240 0.6240 0.1280
0.6240 0.6240 0.6240